No. 1
Entry from Alexandria: a relaxed Cs2Sr crystal (PBE).

The space group is P-1 (No. 2) and the conventional cell measures 4.797, 6.882 and 8.279 Å, with angles of 112.96, 102.57 and 93.07 degrees. The distinct sites, in fractional coordinates, are Cs at (0.156, 0.162, 0.325) and Sr at (0.500, 0.500, 0.000).

The value obtained for the total moment is 0.00 μB/f.u. For the formation energy, the calculation gives 0.1681 eV/atom. Its volume is 80.90 A^3/atom.

***

No. 2
Entry from Alexandria: a relaxed CeTh2Ir9 crystal (PBE).

The space group is R-3m (No. 166, hexagonal axes) and the conventional cell measures 5.3601, 5.3601 and 26.7465 Å, with angles of 90.00, 90.00 and 120.00 degrees. The distinct sites, in fractional coordinates, are Ce at (0.0000, 0.0000, 0.0000), Th at (0.0000, 0.0000, 0.1378), Ir at (0.0000, 0.0000, 0.3332), Ir at (0.0000, 0.0000, 0.5000) and Ir at (0.9995, 0.4998, 0.0816).

The value obtained for the total moment is 0.00 μB/f.u. For the formation energy, the calculation gives -0.6470 eV/atom. Its volume is 18.49 A^3/atom.

***

No. 3
Entry from Alexandria: a relaxed Pu3BiAu2 crystal (PBE).

The space group is P4/mmm (No. 123) and the conventional cell measures 3.558, 3.558 and 12.129 Å, with angles of 90.00, 90.00 and 90.00 degrees. The distinct sites, in fractional coordinates, are Pu at (0.000, 0.000, 0.000), Pu at (0.000, 0.000, 0.313), Bi at (0.500, 0.500, 0.500) and Au at (0.500, 0.500, 0.157).

The value obtained for the total moment is 17.80 μB/f.u. For the formation energy, the calculation gives -0.3579 eV/atom. Its volume is 25.60 A^3/atom. The calculation puts the energy above the most stable polymorph in this dataset at 22 meV per atom.